(1)
Y3NpFe8 | Alexandria via LeMat-Bulk | GGA-PBE | optimized geometry; energy of formation = -20 meV per atom
1.0
2.600 1.501 8.176
-2.600 1.501 8.176
0.000 -3.002 8.176
Y Np Fe
3 1 8
Direct
0.000 0.000 0.000
0.127 0.127 0.127
0.623 0.623 0.623
0.489 0.489 0.489
0.061 0.061 0.563
0.061 0.563 0.061
0.063 0.565 0.565
0.313 0.313 0.313
0.563 0.061 0.061
0.565 0.063 0.565
0.565 0.565 0.063
0.814 0.814 0.814

=====

(2)
CrCdRe2 | Alexandria via LeMat-Bulk | GGA-PBE | optimized geometry; energy of formation = 422 meV per atom
1.0
2.832 0.000 0.000
0.000 2.832 0.000
0.000 0.000 7.688
Cr Cd Re
1 1 2
Direct
0.000 0.000 0.000
0.000 0.000 0.500
0.500 0.500 0.208
0.500 0.500 0.792

=====

(3)
Ac4Pr3Tm | Alexandria via LeMat-Bulk | GGA-PBE | optimized geometry; energy of formation = 38 meV per atom
1.0
10.934 0.000 0.000
0.000 7.600 0.000
0.000 0.000 7.602
Ac Pr Tm
8 6 2
Direct
0.000 0.001 0.000
0.000 0.499 0.497
0.248 0.749 0.748
0.252 0.251 0.248
0.500 0.501 0.997
0.500 0.999 0.500
0.748 0.251 0.248
0.752 0.749 0.748
0.000 0.000 0.498
0.250 0.254 0.749
0.250 0.746 0.249
0.500 0.000 0.998
0.750 0.254 0.749
0.750 0.746 0.249
0.000 0.500 0.999
0.500 0.500 0.499

=====

(4)
H2PtPbCl8 | Alexandria via LeMat-Bulk | GGA-PBE | optimized geometry; E_tot = -3.24 eV per atom
1.0
6.878 0.000 0.000
1.673 7.029 0.000
3.123 0.352 7.373
H Pt Pb Cl
2 1 1 8
Direct
0.247 0.345 0.278
0.753 0.655 0.722
0.500 0.000 0.500
0.500 0.000 0.000
0.227 0.379 0.112
0.261 0.925 0.792
0.274 0.301 0.507
0.305 0.868 0.377
0.695 0.132 0.623
0.726 0.699 0.493
0.739 0.075 0.208
0.773 0.621 0.888

=====

Calculated volume in order - 191.4; 61.6; 631.7; 356.5 Å³/cell